Entry 1:
# ZnCuAgF6, optimized geometry, DFT PBE
data_ZnCuAgF6
_cell_length_a 5.3161
_cell_length_b 5.3161
_cell_length_c 9.8684
_cell_angle_alpha 90.00
_cell_angle_beta 90.00
_cell_angle_gamma 120.00
_space_group_name_H-M_alt 'P -3 1 c'
_space_group_IT_number 163
_space_group_name_Hall '-P 3 2c'
loop_
_atom_site_label
_atom_site_type_symbol
_atom_site_fract_x
_atom_site_fract_y
_atom_site_fract_z
Zn1 Zn 0.3333 0.6667 0.2500
Cu1 Cu 0.3333 0.6667 0.7500
Ag1 Ag 0.0000 0.0000 0.0000
F1 F 0.0134 0.3657 0.6406
# Calculated density, Mg/m³: 4.82
# Formation energy without anion corrections, eV per formula unit: -14.923



Entry 2:
# Hf7MgIn3, optimized geometry, DFT PBE
data_Hf7MgIn3
_cell_length_a 11.013
_cell_length_b 10.182
_cell_length_c 5.174
_cell_angle_alpha 90.00
_cell_angle_beta 117.74
_cell_angle_gamma 90.00
_space_group_name_H-M_alt 'C 1 2/m 1'
_space_group_IT_number 12
loop_
_space_group_symop_operation_xyz
'x,y,z'
'-x,-y,-z'
'-x,y,-z'
'x,-y,z'
'x+1/2,y+1/2,z'
'-x+1/2,-y+1/2,-z'
'-x+1/2,y+1/2,-z'
'x+1/2,-y+1/2,z'
loop_
_atom_site_label
_atom_site_type_symbol
_atom_site_fract_x
_atom_site_fract_y
_atom_site_fract_z
Hf1 Hf 0.000 0.000 0.000
Hf2 Hf 0.205 0.500 0.202
Hf3 Hf 0.207 0.294 0.707
Mg1 Mg 0.000 0.000 0.500
In1 In 0.000 0.283 0.000
In2 In 0.000 0.500 0.500
# ΔH_f (0 K), meV per atom: 294
# Calculated density, Mg/m³: 10.47



Entry 3:
# Na2Mg2Sn3, optimized geometry, DFT PBE
data_Na2Mg2Sn3
_cell_length_a 13.061
_cell_length_b 4.618
_cell_length_c 7.746
_cell_angle_alpha 90.00
_cell_angle_beta 121.90
_cell_angle_gamma 90.00
_space_group_name_H-M_alt 'C 1 2/m 1'
_space_group_IT_number 12
loop_
_space_group_symop_operation_xyz
'x,y,z'
'-x,-y,-z'
'-x,y,-z'
'x,-y,z'
'x+1/2,y+1/2,z'
'-x+1/2,-y+1/2,-z'
'-x+1/2,y+1/2,-z'
'x+1/2,-y+1/2,z'
loop_
_atom_site_label
_atom_site_type_symbol
_atom_site_fract_x
_atom_site_fract_y
_atom_site_fract_z
Na1 Na 0.143 0.000 0.297
Mg1 Mg 0.144 0.000 0.771
Sn1 Sn 0.000 0.500 0.500
Sn2 Sn 0.096 0.500 0.964
# ΔH_f (0 K), meV per atom: -121
# Calculated density, Mg/m³: 3.77